Sc2AsOs | Alexandria | PBEsol | optimized geometry; Fermi-level density of states = 4.07 states/eV per cell; calculated volume = 72.5 Å³ per cell; E_tot = -7.9136 eV per atom
1.0
-0.9508 1.5558 2.4816
0.7974 -2.3730 1.7933
7.0018 2.9719 0.8193
As Os Sc
1 1 2
Direct
0.0000 0.0000 0.5410
0.5000 0.5000 0.7137
0.0000 0.0000 0.9536
0.5000 0.5000 0.2916